# TcAgSe

A geometry-optimized TcAgSe structure (GGA-PBE, the Alexandria database).

Computed properties:
DFT total energy in eV/cell: -61.4
N(E_F) in states/eV/f.u.: 2.51
Energy relative to the lowest polymorph listed for this composition in meV/atom: 327.4
Energy relative to the elements, uncorrected in kcal/mol of atoms: 10.4

abc: 3.071 4.965 14.688
angles: 90.00 90.00 90.00
Space group Fmm2 (No. 42)
Unique sites:
Tc 0.000 0.000 0.000
Ag 0.000 0.000 0.663
Se 0.000 0.000 0.372